Entry 1:
Mg2ZnRe: optimized geometry, PBE.

a = 4.279 Å, b = 2.764 Å, c = 6.273 Å
α = 63.15°, β = 90.00°, γ = 90.00°
Sites, in units of the cell vectors:
Mg 0.000 0.996 0.010
Mg 0.000 0.504 0.490
Re 0.500 0.250 0.250
Zn 0.500 0.750 0.750

Output
DFT formation energy	0.2439	eV/atom
total magnetization	0.000	μB/f.u.
Fermi-level density of states	2.687	states/eV per cell

Entry 2:
MgZnRe2: optimized geometry, PBE.

a = 4.388 Å, b = 4.388 Å, c = 4.388 Å
α = 60.00°, β = 60.00°, γ = 60.00°
Sites, in units of the cell vectors:
Mg 0.500 0.500 0.500
Re 0.000 0.000 0.000
Re 0.250 0.250 0.250
Zn 0.750 0.750 0.750

Output
DFT formation energy	0.1202	eV/atom
total magnetization	0.000	μB/f.u.
excess energy over the best structure of this formula in the dataset	0.28	eV per formula unit
Fermi-level density of states	0.887	states/eV per cell

Entry 3:
MgZn2Re: optimized geometry, PBE.

a = 6.134 Å, b = 4.868 Å, c = 2.743 Å
α = 89.74°, β = 63.89°, γ = 120.40°
Sites, in units of the cell vectors:
Mg 0.000 0.500 0.500
Re 0.500 0.500 0.000
Zn 0.000 0.000 0.000
Zn 0.500 0.000 0.500

Output
DFT formation energy	0.1611	eV/atom
total magnetization	0.000	μB/f.u.
Fermi-level density of states	2.198	states/eV per cell

Entry 4:
Mg2ZnRe: optimized geometry, PBE.

a = 2.766 Å, b = 4.267 Å, c = 5.647 Å
α = 90.00°, β = 90.00°, γ = 90.00°
Sites, in units of the cell vectors:
Mg 0.000 0.000 0.994
Mg 0.500 0.500 0.272
Re 0.000 0.000 0.503
Zn 0.500 0.500 0.731

Output
DFT formation energy	0.2654	eV/atom
total magnetization	0.000	μB/f.u.
Fermi-level density of states	2.838	states/eV per cell

Entry 5:
Mg2ZnRe: optimized geometry, PBE.

a = 5.100 Å, b = 5.100 Å, c = 2.775 Å
α = 90.00°, β = 90.00°, γ = 114.27°
Sites, in units of the cell vectors:
Mg 0.000 0.000 0.000
Mg 0.500 0.500 0.000
Re 0.500 0.000 0.500
Zn 0.000 0.500 0.500

Output
DFT formation energy	0.1900	eV/atom
total magnetization	0.000	μB/f.u.
Fermi-level density of states	2.052	states/eV per cell

Entry 6:
MgZn2Re: optimized geometry, PBE.

a = 5.400 Å, b = 5.400 Å, c = 5.400 Å
α = 149.04°, β = 128.90°, γ = 60.96°
Sites, in units of the cell vectors:
Mg 0.750 0.250 0.500
Re 0.250 0.750 0.500
Zn 0.011 0.011 0.000
Zn 0.489 0.489 0.000

Output
DFT formation energy	0.2705	eV/atom
total magnetization	0.000	μB/f.u.
Fermi-level density of states	1.785	states/eV per cell